[1]
The following is a DFT calculation (PBE-GGA) of a relaxed structure of CaInSi.

Calculated values
space-group type	P2_1/m (11)
VASP energy	-0.135	Ha/atom
V	432	Å³/cell

Lattice parameters (Å, degrees): 4.3992 7.4827 13.1815 85.38 90.00 90.00
Sites, in units of the cell vectors:
1 Ca 0.2500 0.4662 0.6225
2 Ca 0.7500 0.6534 0.0814
3 Ca 0.2500 0.9694 0.7073
4 Ca 0.7500 0.5338 0.3775
5 Ca 0.7500 0.0306 0.2927
6 Ca 0.2500 0.3466 0.9186
7 In 0.7500 0.1524 0.5477
8 In 0.2500 0.9982 0.0920
9 In 0.2500 0.8476 0.4523
10 In 0.7500 0.0018 0.9080
11 In 0.2500 0.3785 0.2060
12 In 0.7500 0.6215 0.7940
13 Si 0.7500 0.2587 0.7505
14 Si 0.2500 0.2390 0.4244
15 Si 0.2500 0.7539 0.9065
16 Si 0.2500 0.7413 0.2495
17 Si 0.7500 0.2461 0.0935
18 Si 0.7500 0.7610 0.5756

[2]
The following is a DFT calculation (PBE-GGA) of a relaxed structure of Ce2PuScP4.

Calculated values
formation enthalpy at 0 K	-1.39	eV per atom
space-group type	P2/m (10)
VASP energy	-0.300	Ha/atom
V	179	Å³/cell

Lattice parameters (Å, degrees): 3.9995 6.8966 6.8785 109.59 90.00 90.00
Last column: magnetic moment on the atom in μB.
Sites, in units of the cell vectors:
1 P 0.5000 0.7480 0.7618  -0.07
2 P 0.0000 0.2604 0.7641  -0.04
3 P 0.5000 0.2520 0.2382  -0.07
4 P 0.0000 0.7396 0.2359  -0.04
5 Ce 0.0000 0.5000 0.5000  0.41
6 Ce 0.5000 0.0000 0.5000  0.52
7 Sc 0.5000 0.5000 0.0000  0.03
8 Pu 0.0000 0.0000 0.0000  4.94

[3]
The following is a DFT calculation (PBE-GGA) of a relaxed structure of TlAsP.

Calculated values
formation enthalpy at 0 K	0.79	eV per atom
space-group type	F-43m (216)
VASP energy	-0.123	Ha/atom
V	76	Å³/cell

Lattice parameters (Å, degrees): 4.7516 4.7516 4.7516 60.00 60.00 60.00
Sites, in units of the cell vectors:
1 P 0.5000 0.5000 0.5000
2 As 0.0000 0.0000 0.0000
3 Tl 0.7500 0.7500 0.7500

[4]
The following is a DFT calculation (PBE-GGA) of a relaxed structure of K4Rb2HgPb2.

Calculated values
formation enthalpy at 0 K	-0.10	eV per atom
space-group type	C2/m (12)
VASP energy	-0.061	Ha/atom
V	432	Å³/cell

Lattice parameters (Å, degrees): 6.5701 8.7704 8.7704 60.63 80.47 80.47
Sites, in units of the cell vectors:
1 Rb 0.7183 0.3568 0.3568
2 Rb 0.2817 0.6432 0.6432
3 K 0.2107 0.0925 0.6534
4 K 0.7893 0.9075 0.3466
5 K 0.7893 0.3466 0.9075
6 K 0.2107 0.6534 0.0925
7 Pb 0.2557 0.1811 0.1811
8 Pb 0.7443 0.8189 0.8189
9 Hg 0.5000 0.0000 0.0000

[5]
The following is a DFT calculation (PBE-GGA) of a relaxed structure of Y4HoNi2.

Calculated values
formation enthalpy at 0 K	-0.14	eV per atom
space-group type	P2_1/m (11)
VASP energy	-0.225	Ha/atom
V	355	Å³/cell

Lattice parameters (Å, degrees): 6.3989 7.5135 7.9790 112.42 90.00 90.00
Sites, in units of the cell vectors:
1 Ni 0.7500 0.3830 0.4101
2 Ni 0.7500 0.7495 0.0073
3 Ni 0.2500 0.2505 0.9927
4 Ni 0.2500 0.6170 0.5899
5 Y 0.2500 0.2487 0.3434
6 Y 0.9955 0.4081 0.7694
7 Y 0.2500 0.9721 0.6132
8 Y 0.4955 0.5919 0.2306
9 Y 0.0045 0.5919 0.2306
10 Y 0.7500 0.0279 0.3868
11 Y 0.7500 0.7513 0.6566
12 Y 0.5045 0.4081 0.7694
13 Ho 0.7500 0.1504 0.0295
14 Ho 0.2500 0.8496 0.9705

[6]
The following is a DFT calculation (PBE-GGA) of a relaxed structure of Pr4Sm3PuTe8.

Calculated values
space-group type	R-3m (166)
VASP energy	-0.218	Ha/atom
V	511	Å³/cell

Lattice parameters (Å, degrees): 8.9567 8.9910 8.9552 119.86 120.01 90.00
Last column: magnetic moment on the atom in μB.
Sites, in units of the cell vectors:
1 Te 0.7486 0.7424 0.9955  0.01
2 Te 0.2469 0.7424 0.9955  0.01
3 Te 0.2469 0.7424 0.4938  0.01
4 Te 0.2523 0.2569 0.5046  0.00
5 Te 0.7531 0.2576 0.0045  0.01
6 Te 0.2514 0.2576 0.0045  0.01
7 Te 0.7531 0.2576 0.5062  0.01
8 Te 0.7477 0.7431 0.4954  0.00
9 Pr 0.0000 0.0000 0.5000  -0.02
10 Pr 0.0000 0.0000 0.0000  -0.02
11 Pr 0.5000 0.0000 0.0000  0.05
12 Pr 0.5000 0.0000 0.5000  -0.02
13 Sm 0.5000 0.5000 0.0000  -0.03
14 Sm 0.0000 0.5000 0.5000  -0.03
15 Sm 0.5000 0.5000 0.5000  -0.03
16 Pu 0.0000 0.5000 0.0000  -5.56

[7]
The following is a DFT calculation (PBE-GGA) of a relaxed structure of CeInSiS4.

Calculated values
space-group type	P2_1/m (11)
VASP energy	-0.200	Ha/atom
V	362	Å³/cell

Lattice parameters (Å, degrees): 6.6079 6.5591 8.7376 90.00 106.85 90.00
Last column: magnetic moment on the atom in μB.
Sites, in units of the cell vectors:
1 S 0.0085 0.0040 0.2802  -0.01
2 S 0.4109 0.7500 0.1626  -0.01
3 S 0.9915 0.5040 0.7198  -0.01
4 S 0.4004 0.7500 0.5658  -0.01
5 S 0.5891 0.2500 0.8374  -0.01
6 S 0.9915 0.9960 0.7198  -0.01
7 S 0.0085 0.4960 0.2802  -0.01
8 S 0.5996 0.2500 0.4342  -0.01
9 In 0.2589 0.2500 0.0764  0.00
10 In 0.7411 0.7500 0.9236  0.00
11 Ce 0.2367 0.2500 0.5569  0.97
12 Ce 0.7633 0.7500 0.4431  0.97
13 Si 0.7808 0.2500 0.6816  0.00
14 Si 0.2192 0.7500 0.3184  0.00

[8]
The following is a DFT calculation (PBE-GGA) of a relaxed structure of InTeO3.

Calculated values
space-group type	Pm-3m (221)
VASP energy	-0.179	Ha/atom
V	72	Å³/cell

Lattice parameters (Å, degrees): 4.1526 4.1526 4.1526 90.00 90.00 90.00
Sites, in units of the cell vectors:
1 In 0.5000 0.5000 0.5000
2 O 0.0000 0.0000 0.5000
3 O 0.0000 0.5000 0.0000
4 O 0.5000 0.0000 0.0000
5 Te 0.0000 0.0000 0.0000

[9]
The following is a DFT calculation (PBE-GGA) of a relaxed structure of ScBeCdCu.

Calculated values
formation enthalpy at 0 K	-0.08	eV per atom
space-group type	F-43m (216)
VASP energy	-0.141	Ha/atom
V	63	Å³/cell

Lattice parameters (Å, degrees): 4.4562 4.4562 4.4562 60.00 60.00 60.00
Sites, in units of the cell vectors:
1 Be 0.7500 0.7500 0.7500
2 Cd 0.5000 0.5000 0.5000
3 Sc 0.0000 0.0000 0.0000
4 Cu 0.2500 0.2500 0.2500

[10]
The following is a DFT calculation (PBE-GGA) of a relaxed structure of CeTh6Sc.

Calculated values
formation enthalpy at 0 K	0.04	eV per atom
space-group type	P4/mmm (123)
VASP energy	-0.259	Ha/atom
V	246	Å³/cell

Lattice parameters (Å, degrees): 4.9618 4.9618 9.9801 90.00 90.00 90.00
Sites, in units of the cell vectors:
1 Th 0.0000 0.5000 0.7513
2 Th 0.5000 0.5000 0.0000
3 Th 0.5000 0.0000 0.2487
4 Th 0.5000 0.5000 0.5000
5 Th 0.5000 0.0000 0.7513
6 Th 0.0000 0.5000 0.2487
7 Sc 0.0000 0.0000 0.0000
8 Ce 0.0000 0.0000 0.5000

[11]
The following is a DFT calculation (PBE-GGA) of a relaxed structure of Ac3Tl2Hg8.

Calculated values
formation enthalpy at 0 K	-0.17	eV per atom
space-group type	R-3m (166)
VASP energy	-0.061	Ha/atom
V	403	Å³/cell

Lattice parameters (Å, degrees): 6.2861 6.2861 12.3311 75.23 75.23 60.00
Sites, in units of the cell vectors:
1 Hg 0.2722 0.7737 0.6820
2 Hg 0.7278 0.2263 0.3180
3 Hg 0.2722 0.2722 0.6820
4 Hg 0.2263 0.7278 0.3180
5 Hg 0.2827 0.2827 0.1520
6 Hg 0.7737 0.2722 0.6820
7 Hg 0.7173 0.7173 0.8480
8 Hg 0.7278 0.7278 0.3180
9 Ac 0.8096 0.8096 0.5711
10 Ac 0.0000 0.0000 0.0000
11 Ac 0.1904 0.1904 0.4289
12 Tl 0.6334 0.6334 0.0999
13 Tl 0.3666 0.3666 0.9001

[12]
The following is a DFT calculation (PBE-GGA) of a relaxed structure of Cd3Ag2Pd2.

Calculated values
formation enthalpy at 0 K	-0.18	eV per atom
space-group type	Cmmm (65)
VASP energy	-0.105	Ha/atom
V	273	Å³/cell

Lattice parameters (Å, degrees): 7.4209 8.5080 4.3161 90.00 89.97 90.00
Sites, in units of the cell vectors:
1 Pd 0.5001 0.7141 0.5000
2 Pd 0.0001 0.7859 0.5000
3 Pd 0.9999 0.2141 0.5000
4 Pd 0.4999 0.2859 0.5000
5 Ag 0.7498 0.2499 0.0000
6 Ag 0.2502 0.7501 0.0000
7 Ag 0.2498 0.2501 0.0000
8 Ag 0.7502 0.7499 0.0000
9 Cd 0.5000 0.5000 0.0000
10 Cd 0.6977 0.9999 0.5006
11 Cd 0.1977 0.5001 0.5006
12 Cd 0.0000 0.0000 0.0000
13 Cd 0.8023 0.4999 0.4994
14 Cd 0.3023 0.0001 0.4994